CrAgW2 | PBE-GGA | relaxed

Cell: 9.6258 9.6258 9.6258 Å, 16.65 16.65 16.65°
With the nearest neighbours (Å) after each atom.
Element x y z (fractional)
1 Ag 0.4967 0.4967 0.4967  6 Ag 2.79, 3 Cr 2.85, 3 W 2.98
2 Cr 0.7473 0.7473 0.7473  3 W 2.70, 6 Cr 2.79, 3 Ag 2.85
3 W 0.0043 0.0043 0.0043  3 Cr 2.70, 9 W 2.79-2.93
4 W 0.2517 0.2517 0.2517  9 W 2.79-2.93, 3 Ag 2.98

Summary:
Its polymorph energy (0 for the lowest one) is 17.8 kJ/mol of atoms. The volume is 15.96 Å³ per atom. The space group is No. 160. The calculation puts the magnetization at 2.1 μB per cell.